DFT (GGA+U) results for LaSmWO6 after structural relaxation.

Lattice parameters (Å, degrees): 5.7017 5.7017 9.8978 90.00 90.00 120.00
With the nearest neighbours (Å) after each atom.
Element x y z (fractional)
1 La 0.0000 0.0000 0.0000  6 O 2.47
2 La 0.0000 0.0000 0.5000  6 O 2.47
3 Sm 0.3333 0.6667 0.2500  6 O 2.33
4 Sm 0.6667 0.3333 0.7500  6 O 2.33
5 W 0.3333 0.6667 0.7500  6 O 1.96
6 W 0.6667 0.3333 0.2500  6 O 1.96
7 O 0.0482 0.3807 0.6391  1 W 1.96
8 O 0.0482 0.6675 0.8609  1 W 1.96
9 O 0.3325 0.3807 0.8609  1 W 1.96
10 O 0.3325 0.9518 0.6391  1 W 1.96
11 O 0.3807 0.0482 0.1391  1 W 1.96
12 O 0.3807 0.3325 0.3609  1 W 1.96
13 O 0.6193 0.6675 0.6391  1 W 1.96
14 O 0.6193 0.9518 0.8609  1 W 1.96
15 O 0.6675 0.0482 0.3609  1 W 1.96
16 O 0.6675 0.6193 0.1391  1 W 1.96
17 O 0.9518 0.3325 0.1391  1 W 1.96
18 O 0.9518 0.6193 0.3609  1 W 1.96

Summary:
VASP energy ... -8.053 eV/atom
Space group ... P-31c, No. 163